{"formula": "Ho4AlSb2", "functional": "PBE", "state": "optimized geometry", "lattice_angstrom": [[-4.7687, 4.7687, 4.6922], [4.7687, -4.7687, 4.6922], [4.7687, 4.7687, -4.6922]], "species": ["Ho", "Ho", "Ho", "Ho", "Ho", "Ho", "Ho", "Ho", "Al", "Al", "Sb", "Sb", "Sb", "Sb"], "frac_coords": [[0.1855, 0.2437, 0.5583], [0.1855, 0.6272, 0.9417], [0.2437, 0.1855, 0.0583], [0.3728, 0.8145, 0.5583], [0.6272, 0.1855, 0.4417], [0.7563, 0.8145, 0.9417], [0.8145, 0.3728, 0.0583], [0.8145, 0.7563, 0.4417], [0.1250, 0.8750, 0.2500], [0.8750, 0.1250, 0.7500], [0.0000, 0.5000, 0.5000], [0.5000, 0.0000, 0.0000], [0.5000, 0.5000, 0.0000], [0.5000, 0.5000, 0.5000]], "space_group": "I4_1/amd (141)"}


{"formula": "SbOsCl2", "functional": "PBE", "state": "optimized geometry", "lattice_angstrom": [[1.4856, -2.8627, 0.0000], [1.4856, 2.8627, 0.0000], [0.0000, 0.0000, 11.9367]], "species": ["Sb", "Os", "Cl", "Cl"], "frac_coords": [[0.0000, 0.0000, 0.0000], [0.0000, 0.0000, 0.5000], [0.5000, 0.5000, 0.3448], [0.5000, 0.5000, 0.6552]], "relative_energy_mev_per_atom": 382, "space_group": "Cmmm (65)"}


{"formula": "KNdHgTe3", "functional": "PBE", "state": "optimized geometry", "lattice_angstrom": [[9.4790, 0.0000, 0.0000], [0.0000, 4.5931, 0.0000], [-3.0699, 0.0000, 10.4368]], "species": ["K", "K", "Nd", "Nd", "Hg", "Hg", "Te", "Te", "Te", "Te", "Te", "Te"], "frac_coords": [[0.2182, 0.2500, 0.2501], [0.7818, 0.7500, 0.7499], [0.3211, 0.7500, 0.8605], [0.6789, 0.2500, 0.1395], [0.0922, 0.2500, 0.6151], [0.9078, 0.7500, 0.3849], [0.0859, 0.2500, 0.8726], [0.2356, 0.7500, 0.5394], [0.4560, 0.7500, 0.1595], [0.5440, 0.2500, 0.8405], [0.7644, 0.2500, 0.4606], [0.9141, 0.7500, 0.1274]], "space_group": "P2_1/m (11)"}


Number 1: E_form (uncorrected) -553 meV per atom. Number 2: E_form (uncorrected) 404 meV per atom. Number 3: E_form (uncorrected) -962 meV per atom.